A plane-wave DFT calculation with PBE was carried out for AlZn2Sb after structural relaxation.

The structure in POSCAR format:
```
AlZn2Sb
1.0
3.619 0.000 0.000
0.000 5.451 -0.124
0.000 3.915 3.969
Sb Zn Al
1 2 1
Direct
0.000 0.000 0.500
0.000 0.000 0.000
0.500 0.500 0.000
0.500 0.500 0.500
```

Summary:
M_tot (μB/atom): 0.000
Symmetry: No. 10
Uncorrected formation energy (meV per atom): 180
Energy above the lowest structure with this stoichiometry (meV/atom): 58